(1)
The following is a DFT calculation (PBE) of PmMgGa2Au4 after structural relaxation.

Summary:
VASP energy	-3.718	eV per atom
DFT formation energy	-0.5295	eV per atom
total moment	0.0	μB/cell

Unit cell a=4.5694 b=4.5694 c=26.1493 alpha=90.00 beta=90.00 gamma=120.00
Space group R-3m (No. 166, hexagonal axes)
One atom of each set of equivalent atoms:
Pm1 0.0000 0.0000 0.0000 (multiplicity 3)
Mg1 0.0000 0.0000 0.5000 (multiplicity 3)
Ga1 0.0000 0.0000 0.2463 (multiplicity 6)
Au1 0.0000 0.0000 0.1335 (multiplicity 6)
Au2 0.0000 0.0000 0.3943 (multiplicity 6)

---

(2)
The following is a DFT calculation (PBE) of Pm2MgGaAu6 after structural relaxation.

Summary:
VASP energy	-3.879	eV per atom
DFT formation energy	-0.4999	eV per atom
total moment	0.0	μB/cell

Unit cell a=5.5301 b=6.8567 c=6.8621 alpha=74.54 beta=66.27 gamma=67.16
Space group P-1 (No. 2)
One atom of each set of equivalent atoms:
Pm1 0.0063 0.2600 0.2296 (multiplicity 2)
Mg1 0.5000 0.0000 0.5000 (multiplicity 1)
Ga1 0.5000 0.5000 0.0000 (multiplicity 1)
Au1 0.0020 0.3047 0.6808 (multiplicity 2)
Au2 0.3358 0.9133 0.9182 (multiplicity 2)
Au3 0.4974 0.3156 0.6836 (multiplicity 2)

---

(3)
The following is a DFT calculation (PBE) of PmMgGaAu after structural relaxation.

Summary:
VASP energy	-3.781	eV per atom
DFT formation energy	-0.6187	eV per atom
total moment	0.0	μB/cell

Unit cell a=7.0284 b=7.0284 c=7.0284 alpha=90.00 beta=90.00 gamma=90.00
Space group F-43m (No. 216)
One atom of each set of equivalent atoms:
Pm1 0.0000 0.0000 0.0000 (multiplicity 4)
Mg1 0.0000 0.0000 0.5000 (multiplicity 4)
Ga1 0.2500 0.2500 0.2500 (multiplicity 4)
Au1 0.2500 0.2500 0.7500 (multiplicity 4)

---

(4)
The following is a DFT calculation (PBE) of Pr2MgGa3Au4 after structural relaxation.

Summary:
VASP energy	-3.988	eV per atom
DFT formation energy	-0.6535	eV per atom
total moment	0.0	μB/cell

Unit cell a=4.4793 b=4.4793 c=10.6817 alpha=90.00 beta=90.00 gamma=90.00
Space group P-4m2 (No. 115)
One atom of each set of equivalent atoms:
Pr1 0.0000 0.5000 0.2389 (multiplicity 2)
Mg1 0.0000 0.0000 0.5000 (multiplicity 1)
Ga1 0.0000 0.5000 0.8698 (multiplicity 2)
Ga2 0.5000 0.5000 0.5000 (multiplicity 1)
Au1 0.0000 0.0000 0.0000 (multiplicity 1)
Au2 0.0000 0.5000 0.6353 (multiplicity 2)
Au3 0.5000 0.5000 0.0000 (multiplicity 1)

---

(5)
The following is a DFT calculation (PBE) of PrMgGaAu after structural relaxation.

Summary:
VASP energy	-3.767	eV per atom
DFT formation energy	-0.5978	eV per atom
total moment	0.0	μB/cell

Unit cell a=7.1009 b=7.1009 c=7.1009 alpha=90.00 beta=90.00 gamma=90.00
Space group F-43m (No. 216)
One atom of each set of equivalent atoms:
Pr1 0.0000 0.0000 0.0000 (multiplicity 4)
Mg1 0.0000 0.0000 0.5000 (multiplicity 4)
Ga1 0.2500 0.2500 0.2500 (multiplicity 4)
Au1 0.2500 0.2500 0.7500 (multiplicity 4)

---

(6)
The following is a DFT calculation (PBE) of PrMgGa2Au4 after structural relaxation.

Summary:
VASP energy	-3.720	eV per atom
DFT formation energy	-0.5276	eV per atom
total moment	0.0	μB/cell

Unit cell a=4.5696 b=4.5696 c=26.5901 alpha=90.00 beta=90.00 gamma=120.00
Space group R-3m (No. 166, hexagonal axes)
One atom of each set of equivalent atoms:
Pr1 0.0000 0.0000 0.0000 (multiplicity 3)
Mg1 0.0000 0.0000 0.5000 (multiplicity 3)
Ga1 0.0000 0.0000 0.2451 (multiplicity 6)
Au1 0.0000 0.0000 0.1346 (multiplicity 6)
Au2 0.0000 0.0000 0.3961 (multiplicity 6)

---

(7)
The following is a DFT calculation (PBE) of PrMg2GaAu2 after structural relaxation.

Summary:
VASP energy	-3.248	eV per atom
DFT formation energy	-0.3226	eV per atom
total moment	0.0	μB/cell

Unit cell a=4.4134 b=4.4134 c=15.9079 alpha=90.00 beta=90.00 gamma=90.00
Space group I4/mmm (No. 139)
One atom of each set of equivalent atoms:
Pr1 0.0000 0.0000 0.0000 (multiplicity 2)
Mg1 0.0000 0.5000 0.2500 (multiplicity 4)
Ga1 0.0000 0.0000 0.5000 (multiplicity 2)
Au1 0.0000 0.0000 0.3468 (multiplicity 4)

---

(8)
The following is a DFT calculation (PBE) of PrMg2Ga2Au2 after structural relaxation.

Summary:
VASP energy	-3.482	eV per atom
DFT formation energy	-0.5426	eV per atom
total moment	0.0	μB/cell

Unit cell a=4.4897 b=4.4897 c=25.0431 alpha=90.00 beta=90.00 gamma=120.00
Space group R-3m (No. 166, hexagonal axes)
One atom of each set of equivalent atoms:
Pr1 0.0000 0.0000 0.0000 (multiplicity 3)
Mg1 0.0000 0.0000 0.1371 (multiplicity 6)
Ga1 0.0000 0.0000 0.2585 (multiplicity 6)
Au1 0.0000 0.0000 0.4288 (multiplicity 6)

---

(9)
The following is a DFT calculation (PBE) of PrMgGa2Au5 after structural relaxation.

Summary:
VASP energy	-3.576	eV per atom
DFT formation energy	-0.3749	eV per atom
total moment	0.0	μB/cell

Unit cell a=4.9127 b=4.9127 c=7.8705 alpha=90.00 beta=90.00 gamma=90.00
Space group P4/mmm (No. 123)
One atom of each set of equivalent atoms:
Pr1 0.0000 0.0000 0.0000 (multiplicity 1)
Mg1 0.0000 0.0000 0.5000 (multiplicity 1)
Ga1 0.5000 0.5000 0.3435 (multiplicity 2)
Au1 0.0000 0.5000 0.2501 (multiplicity 4)
Au2 0.5000 0.5000 0.0000 (multiplicity 1)

---

(10)
The following is a DFT calculation (PBE) of PrMgGa2Au2 after structural relaxation.

Summary:
VASP energy	-3.803	eV per atom
DFT formation energy	-0.6397	eV per atom
total moment	0.0	μB/cell

Unit cell a=4.4781 b=4.4781 c=7.1902 alpha=90.00 beta=90.00 gamma=120.00
Space group P-3m1 (No. 164)
One atom of each set of equivalent atoms:
Pr1 0.0000 0.0000 0.0000 (multiplicity 1)
Mg1 0.0000 0.0000 0.5000 (multiplicity 1)
Ga1 0.3333 0.6667 0.7227 (multiplicity 2)
Au1 0.3333 0.6667 0.3036 (multiplicity 2)

---

(11)
The following is a DFT calculation (PBE) of PuMg2GaAu4 after structural relaxation.

Summary:
VASP energy	-4.620	eV per atom
DFT formation energy	-0.4129	eV per atom
total moment	17.0	μB/cell

Unit cell a=4.5996 b=4.5996 c=26.4772 alpha=90.00 beta=90.00 gamma=120.00
Space group R-3m (No. 166, hexagonal axes)
One atom of each set of equivalent atoms:
Pu1 0.0000 0.0000 0.0000 (multiplicity 3)
Mg1 0.0000 0.0000 0.2398 (multiplicity 6)
Ga1 0.0000 0.0000 0.5000 (multiplicity 3)
Au1 0.0000 0.0000 0.1272 (multiplicity 6)
Au2 0.0000 0.0000 0.3938 (multiplicity 6)

---

(12)
The following is a DFT calculation (PBE) of PuMgGa2Au2 after structural relaxation.

Summary:
VASP energy	-5.212	eV per atom
DFT formation energy	-0.4561	eV per atom
total moment	5.8	μB/cell

Unit cell a=4.4972 b=4.4972 c=6.9197 alpha=90.00 beta=90.00 gamma=120.00
Space group P-3m1 (No. 164)
One atom of each set of equivalent atoms:
Pu1 0.0000 0.0000 0.0000 (multiplicity 1)
Mg1 0.0000 0.0000 0.5000 (multiplicity 1)
Ga1 0.3333 0.6667 0.2611 (multiplicity 2)
Au1 0.3333 0.6667 0.7090 (multiplicity 2)

---

(13)
The following is a DFT calculation (PBE) of PuMgGaAu after structural relaxation.

Summary:
VASP energy	-5.939	eV per atom
DFT formation energy	-0.3814	eV per atom
total moment	21.9	μB/cell

Unit cell a=6.9794 b=6.9794 c=6.9794 alpha=90.00 beta=90.00 gamma=90.00
Space group F-43m (No. 216)
One atom of each set of equivalent atoms:
Pu1 0.0000 0.0000 0.0000 (multiplicity 4)
Mg1 0.0000 0.0000 0.5000 (multiplicity 4)
Ga1 0.2500 0.2500 0.7500 (multiplicity 4)
Au1 0.2500 0.2500 0.2500 (multiplicity 4)

---

(14)
The following is a DFT calculation (PBE) of PuMgGa2Au5 after structural relaxation.

Summary:
VASP energy	-4.512	eV per atom
DFT formation energy	-0.2492	eV per atom
total moment	5.6	μB/cell

Unit cell a=4.8088 b=4.8088 c=8.1195 alpha=90.00 beta=90.00 gamma=90.00
Space group P4/mmm (No. 123)
One atom of each set of equivalent atoms:
Pu1 0.0000 0.0000 0.0000 (multiplicity 1)
Mg1 0.0000 0.0000 0.5000 (multiplicity 1)
Ga1 0.5000 0.5000 0.3496 (multiplicity 2)
Au1 0.0000 0.5000 0.2397 (multiplicity 4)
Au2 0.5000 0.5000 0.0000 (multiplicity 1)

---

(15)
The following is a DFT calculation (PBE) of Pu2MgGa4Au3 after structural relaxation.

Summary:
VASP energy	-5.609	eV per atom
DFT formation energy	-0.3893	eV per atom
total moment	11.2	μB/cell

Unit cell a=4.2298 b=4.2298 c=11.5889 alpha=90.00 beta=90.00 gamma=90.00
Space group P-4m2 (No. 115)
One atom of each set of equivalent atoms:
Pu1 0.0000 0.5000 0.2450 (multiplicity 2)
Mg1 0.0000 0.0000 0.5000 (multiplicity 1)
Ga1 0.0000 0.0000 0.0000 (multiplicity 1)
Ga2 0.0000 0.5000 0.6462 (multiplicity 2)
Ga3 0.5000 0.5000 0.0000 (multiplicity 1)
Au1 0.0000 0.5000 0.8646 (multiplicity 2)
Au2 0.5000 0.5000 0.5000 (multiplicity 1)

---

(16)
The following is a DFT calculation (PBE) of MgSc2GaAu4 after structural relaxation.

Summary:
VASP energy	-4.490	eV per atom
DFT formation energy	-0.6904	eV per atom
total moment	0.0	μB/cell

Unit cell a=4.7075 b=4.7075 c=23.1436 alpha=90.00 beta=90.00 gamma=120.00
Space group R-3m (No. 166, hexagonal axes)
One atom of each set of equivalent atoms:
Mg1 0.0000 0.0000 0.0000 (multiplicity 3)
Sc1 0.0000 0.0000 0.2472 (multiplicity 6)
Ga1 0.0000 0.0000 0.5000 (multiplicity 3)
Au1 0.0000 0.0000 0.1226 (multiplicity 6)
Au2 0.0000 0.0000 0.3728 (multiplicity 6)

---

(17)
The following is a DFT calculation (PBE) of Mg2GaAuSe4 after structural relaxation.

Summary:
ΔE_f (raw)	-788.8	meV per atom
VASP energy	-3.718	eV per atom
total moment	0.0	μB/cell

Unit cell a=8.5268 b=8.5284 c=11.5003 alpha=90.00 beta=90.00 gamma=90.00
Space group Fmm2 (No. 42)
One atom of each set of equivalent atoms:
Mg1 0.2500 0.2500 0.0000 (multiplicity 8)
Ga1 0.0000 0.0000 0.2504 (multiplicity 4)
Au1 0.0000 0.0000 0.7487 (multiplicity 4)
Se1 0.0000 0.2355 0.3722 (multiplicity 8)
Se2 0.2349 0.0000 0.1277 (multiplicity 8)

---

(18)
The following is a DFT calculation (PBE) of SmMg2GaAu2 after structural relaxation.

Summary:
VASP energy	-3.215	eV per atom
DFT formation energy	-0.3003	eV per atom
total moment	0.0	μB/cell

Unit cell a=5.2237 b=5.2237 c=11.0298 alpha=90.00 beta=90.00 gamma=90.00
Space group I4/mmm (No. 139)
One atom of each set of equivalent atoms:
Sm1 0.0000 0.0000 0.0000 (multiplicity 2)
Mg1 0.0000 0.5000 0.2500 (multiplicity 4)
Ga1 0.0000 0.0000 0.5000 (multiplicity 2)
Au1 0.0000 0.0000 0.2744 (multiplicity 4)

---

(19)
The following is a DFT calculation (PBE) of SmMgGa2Au2 after structural relaxation.

Summary:
VASP energy	-3.786	eV per atom
DFT formation energy	-0.6321	eV per atom
total moment	0.0	μB/cell

Unit cell a=4.4661 b=4.4661 c=7.0465 alpha=90.00 beta=90.00 gamma=120.00
Space group P-3m1 (No. 164)
One atom of each set of equivalent atoms:
Sm1 0.0000 0.0000 0.0000 (multiplicity 1)
Mg1 0.0000 0.0000 0.5000 (multiplicity 1)
Ga1 0.3333 0.6667 0.7274 (multiplicity 2)
Au1 0.3333 0.6667 0.2953 (multiplicity 2)

---

(20)
The following is a DFT calculation (PBE) of Sm2MgGa4Au3 after structural relaxation.

Summary:
VASP energy	-3.907	eV per atom
DFT formation energy	-0.6097	eV per atom
total moment	0.0	μB/cell

Unit cell a=4.2696 b=4.2696 c=11.3301 alpha=90.00 beta=90.00 gamma=90.00
Space group P-4m2 (No. 115)
One atom of each set of equivalent atoms:
Sm1 0.0000 0.5000 0.2463 (multiplicity 2)
Mg1 0.0000 0.0000 0.5000 (multiplicity 1)
Ga1 0.0000 0.0000 0.0000 (multiplicity 1)
Ga2 0.0000 0.5000 0.6445 (multiplicity 2)
Ga3 0.5000 0.5000 0.0000 (multiplicity 1)
Au1 0.0000 0.5000 0.8662 (multiplicity 2)
Au2 0.5000 0.5000 0.5000 (multiplicity 1)